Record 1
Material: Te3PdRu
Method: DFT, PBE
State: optimized geometry

**Calculated density**: 7.1 g/cm³
**Total DFT energy (no corrections)**: -18.65 eV/cell
**D(E_F)**: 1.073 states/eV/atom

Cell lengths 5.1664, 5.1664, 5.1664 Å; angles 90.00, 90.00, 90.00 degrees
With the nearest neighbours (Å) after each atom.
Sites, in units of the cell vectors:
Te (0.0000, 0.0000, 0.5000)  2 Pd 2.58
Te (0.0000, 0.5000, 0.0000)  2 Pd 2.58
Te (0.5000, 0.0000, 0.0000)  2 Pd 2.58
Pd (0.0000, 0.0000, 0.0000)  6 Te 2.58
Ru (0.5000, 0.5000, 0.5000)  12 Te 3.65

---

Record 2
Material: TePd2Ru2
Method: DFT, PBE
State: optimized geometry

**Calculated density**: 10.1 g/cm³
**Total DFT energy (no corrections)**: -30.29 eV/cell
**D(E_F)**: 1.183 states/eV/atom

Cell lengths 7.5106, 7.5106, 7.5106 Å; angles 152.71, 152.71, 38.97 degrees
With the nearest neighbours (Å) after each atom.
Sites, in units of the cell vectors:
Te (0.0000, 0.0000, 0.0000)  8 Pd 2.89
Pd (0.3983, 0.3983, 0.0000)  4 Ru 2.75, 1 Pd 2.88, 4 Te 2.89
Pd (0.6017, 0.6017, 0.0000)  4 Ru 2.75, 1 Pd 2.88, 4 Te 2.89
Ru (0.2500, 0.7500, 0.5000)  4 Ru 2.51, 4 Pd 2.75
Ru (0.7500, 0.2500, 0.5000)  4 Ru 2.51, 4 Pd 2.75

---

Record 3
Material: TePd3Ru
Method: DFT, PBE
State: optimized geometry

**Calculated density**: 8.2 g/cm³
**Total DFT energy (no corrections)**: -22.83 eV/cell
**D(E_F)**: 1.507 states/eV/atom

Cell lengths 4.8147, 4.8147, 4.8147 Å; angles 90.00, 90.00, 90.00 degrees
With the nearest neighbours (Å) after each atom.
Sites, in units of the cell vectors:
Te (0.0000, 0.0000, 0.0000)  12 Pd 3.40
Pd (0.0000, 0.5000, 0.5000)  2 Ru 2.41
Pd (0.5000, 0.0000, 0.5000)  2 Ru 2.41
Pd (0.5000, 0.5000, 0.0000)  2 Ru 2.41
Ru (0.5000, 0.5000, 0.5000)  6 Pd 2.41